Here is K3Sc2MnO6 after structural relaxation from Alexandria via LeMat-Bulk. Energies are from PBE with a Hubbard U.

Cell lengths 5.543, 9.557, 6.388 Å; angles 90.00, 106.87, 90.00 degrees
Space group C2/m (No. 12)
Inequivalent atoms, fractional coordinates:
K: 0.000 0.000 0.000 x2
K: 0.000 0.335 0.000 x4
Sc: 0.000 0.167 0.500 x4
Mn: 0.000 0.500 0.500 x2
O: 0.220 0.339 0.675 x8
O: 0.233 0.000 0.677 x4

Properties
Its calculated volume is 323.8 Å³ per cell. For the size of the total moment, the calculation gives 4.00 μB/cell. The total energy comes out at -6.656 eV/atom.